# Th3CuB2Rh9 PBE relaxed
# formation energy: -0.693 eV/atom
# volume: 249.90 Å³/f.u.
# theoretical density: 11.3 Mg/m³
# DOS(E_F): 11.6 states/eV/f.u.
data_Th3CuB2Rh9
_chemical_formula_sum 'Th3 Cu1 B2 Rh9'
_cell_length_a 6.0300
_cell_length_b 6.0300
_cell_length_c 7.9361
_cell_angle_alpha 90.00
_cell_angle_beta 90.00
_cell_angle_gamma 120.00
_space_group_name_H-M_alt 'P -3 m 1'
_space_group_IT_number 164
_space_group_name_Hall '-P 3 2"'
loop_
_atom_site_label
_atom_site_fract_x
_atom_site_fract_y
_atom_site_fract_z
Th1 0.0000 0.0000 0.0000
Th2 0.3333 0.6667 0.6527
Cu1 0.0000 0.0000 0.5000
B1 0.3333 0.6667 0.1506
Rh1 0.0000 0.5000 0.0000
Rh2 0.1729 0.3458 0.3018